TiBeRh2: optimized geometry, PBE.

Computed properties:
Formation enthalpy at 0 K ... -0.764 eV/atom
DOS at the Fermi energy ... 0.09 states/eV/atom
E ... -7.3453 eV/atom

a b c (Å): 3.1088 4.0860 4.0860
angles (deg): 90.00 90.00 90.00
Element x y z (fractional)
Be 0.5000 0.5000 0.5000
Rh 0.0000 0.0000 0.5000
Rh 0.0000 0.5000 0.0000
Ti 0.5000 0.0000 0.0000